Material: CdGaO2F
Method: DFT, PBE
State: relaxed

Unit cell a=3.493 b=5.656 c=8.134 alpha=115.87 beta=90.00 gamma=90.00
Sites, in units of the cell vectors:
Cd1 0.750 0.271 0.637
Cd2 0.250 0.729 0.363
Ga1 0.250 0.902 0.839
Ga2 0.750 0.098 0.161
O1 0.750 0.817 0.903
O2 0.250 0.183 0.097
O3 0.250 0.048 0.674
O4 0.750 0.952 0.326
F1 0.750 0.468 0.364
F2 0.250 0.532 0.636

Values from the calculation:
Uncorrected energy in eV per atom: -4.895
Total moment in Bohr magnetons per cell: 0.0
Symmetry: No. 11
Formation energy without anion corrections in kJ/mol of atoms: -168.8
V in Å³ per cell: 144.6